Record 1
Entry from Alexandria: a relaxed structure of CaCd2Ag6 (PBE).

The space group is Fm-3m (No. 225) and the conventional cell measures 9.411, 9.411 and 9.411 Å, with angles of 90.00, 90.00 and 90.00 degrees. The distinct sites, in fractional coordinates, are Ca at (0.000, 0.000, 0.000), Cd at (0.250, 0.250, 0.250) and Ag at (0.000, 0.000, 0.290).

For the calculated formation energy, the calculation gives 0.3067 eV per atom. The value obtained for the total moment is 0.00 μB/cell. The value obtained for the energy above the most stable polymorph in this dataset is 0.339 eV/atom.

=====

Record 2
Entry from Alexandria: a relaxed structure of Ce2MnAs4Ir3 (PBE).

The space group is P-4m2 (No. 115) and the conventional cell measures 4.296, 4.296 and 9.813 Å, with angles of 90.00, 90.00 and 90.00 degrees. The distinct sites, in fractional coordinates, are Ce at (0.000, 0.500, 0.247), Mn at (0.500, 0.500, 0.000), As at (0.000, 0.000, 0.500), As at (0.000, 0.500, 0.872), As at (0.500, 0.500, 0.500), Ir at (0.000, 0.000, 0.000) and Ir at (0.000, 0.500, 0.623).

For the calculated formation energy, the calculation gives -0.7151 eV per atom. The value obtained for the total moment is 0.30 μB/cell.

=====

Record 3
Entry from Alexandria: a relaxed structure of Na2PrDyS4 (PBE).

The space group is P2/m (No. 10) and the conventional cell measures 7.064, 4.076 and 7.096 Å, with angles of 90.00, 109.35 and 90.00 degrees. The distinct sites, in fractional coordinates, are Na at (0.000, 0.000, 0.000), Na at (0.500, 0.500, 0.000), Pr at (0.000, 0.500, 0.500), Dy at (0.500, 0.000, 0.500), S at (0.254, 0.000, 0.733) and S at (0.266, 0.500, 0.272).

The value obtained for the total moment is 0.00 μB/cell. As for the total DFT energy (no corrections): -0.395 Ry per atom.

=====

Record 4
Entry from Alexandria: a relaxed structure of Ce3Th5Bi8 (PBE).

The space group is R-3m (No. 166, hexagonal axes) and the conventional cell measures 9.1822, 9.1822 and 22.6207 Å, with angles of 90.00, 90.00 and 120.00 degrees. The distinct sites, in fractional coordinates, are Ce at (0.0000, 0.5000, 0.0000), Th at (0.0000, 0.0000, 0.0000), Th at (0.0000, 0.0000, 0.5000), Th at (0.0000, 0.5000, 0.5000), Bi at (0.0000, 0.0000, 0.2503) and Bi at (0.0007, 0.5004, 0.2503).

For the calculated formation energy, the calculation gives -0.6620 eV per atom. The value obtained for the total moment is 9.50 μB/cell.